(w)
First-principles (PBE-GGA) data for crystalline CePa5 at its relaxed geometry, as listed in Alexandria.

Structure (POSCAR):
```
CePa5
1.0
-3.4903 1.0509 -2.8722
-0.9796 -4.5447 -0.4725
-3.8832 2.6481 5.6880
Ce Pa
1 5
Cartesian
0.0000 0.0000 0.0000
-3.2057 0.6510 0.3847
-1.9544 -2.1465 1.5896
-5.1474 -1.4967 1.9585
-2.2350 -1.7469 -1.6723
-2.9084 0.2499 3.6258
```

Output
magnetic moment = 0.0 μB per cell

(x)
First-principles (PBE-GGA) data for crystalline CePa5 at its relaxed geometry, as listed in Alexandria.

Structure (POSCAR):
```
CePa5
1.0
3.1874 0.0000 0.0000
-1.5937 2.7604 0.0000
0.0000 0.0000 17.1013
Pa Ce
5 1
Cartesian
0.0000 0.0000 5.7088
1.5937 0.9201 2.8713
1.5937 0.9201 14.2300
0.0000 0.0000 11.3925
1.5937 0.9201 8.5507
0.0000 0.0000 0.0000
```

Output
magnetic moment = 0.0 μB per cell

Relative energy of each structure, in eV/atom: (w) 0.000; (x) 0.006.